This record from the Alexandria database describes ZrTiRh2 after structural relaxation. The functional is PBE.

Results
For the total energy, the calculation gives -0.626 Ry per atom. The space group is No. 63. The distance to the lowest polymorph of the same formula is 39.7 meV per atom.

Cell lengths 4.310, 5.614, 5.614 Å; angles 103.68, 90.00, 90.00 degrees
Positions (direct):
Rh  0.750  0.155  0.399
Rh  0.250  0.399  0.155
Rh  0.750  0.601  0.845
Rh  0.250  0.845  0.601
Zr  0.750  0.122  0.878
Zr  0.250  0.878  0.122
Ti  0.250  0.371  0.629
Ti  0.750  0.629  0.371

=====

This record from the Alexandria database describes Zr3TiRh2 after structural relaxation. The functional is PBE.

Results
For the total energy, the calculation gives -0.610 Ry per atom. The space group is No. 72. The distance to the lowest polymorph of the same formula is 272.8 meV per atom.

Cell lengths 6.438, 6.593, 7.673 Å; angles 115.45, 114.80, 90.00 degrees
Positions (direct):
Zr  0.226  0.976  0.452
Zr  0.226  0.476  0.452
Zr  0.500  0.750  0.000
Zr  0.500  0.250  0.000
Zr  0.774  0.524  0.548
Zr  0.774  0.024  0.548
Rh  0.571  0.363  0.726
Rh  0.429  0.637  0.274
Rh  0.845  0.137  0.274
Rh  0.155  0.863  0.726
Ti  0.000  0.000  0.000
Ti  0.000  0.500  0.000

=====

This record from the Alexandria database describes Zr2Ti2Rh after structural relaxation. The functional is PBE.

Results
For the total energy, the calculation gives -0.608 Ry per atom. The space group is No. 127. The distance to the lowest polymorph of the same formula is 0.0 meV per atom.

Cell lengths 6.465, 6.465, 4.645 Å; angles 90.00, 90.00, 90.00 degrees
Positions (direct):
Zr  0.839  0.339  0.500
Zr  0.161  0.661  0.500
Zr  0.339  0.161  0.500
Zr  0.661  0.839  0.500
Ti  0.649  0.149  0.000
Ti  0.149  0.351  0.000
Ti  0.351  0.851  0.000
Ti  0.851  0.649  0.000
Rh  0.500  0.500  0.000
Rh  0.000  0.000  0.000

=====

This record from the Alexandria database describes ZrTiRh2 after structural relaxation. The functional is PBE.

Results
For the total energy, the calculation gives -0.624 Ry per atom. The space group is No. 123. The distance to the lowest polymorph of the same formula is 57.8 meV per atom.

Cell lengths 3.244, 4.520, 4.520 Å; angles 90.00, 90.00, 90.00 degrees
Positions (direct):
Zr  0.500  0.500  0.500
Rh  0.000  0.000  0.500
Rh  0.000  0.500  0.000
Ti  0.500  0.000  0.000

=====

This record from the Alexandria database describes ZrTi2Rh2 after structural relaxation. The functional is PBE.

Results
For the total energy, the calculation gives -0.590 Ry per atom. The space group is No. 15. The distance to the lowest polymorph of the same formula is 339.4 meV per atom.

Cell lengths 6.499, 6.499, 6.399 Å; angles 118.49, 118.49, 93.24 degrees
Positions (direct):
Zr  0.875  0.625  0.750
Zr  0.125  0.375  0.250
Rh  0.409  0.091  0.250
Rh  0.591  0.909  0.750
Rh  0.840  0.660  0.250
Rh  0.160  0.340  0.750
Ti  0.462  0.713  0.926
Ti  0.213  0.962  0.426
Ti  0.787  0.038  0.574
Ti  0.538  0.287  0.074

=====

This record from the Alexandria database describes ZrTi2Rh5 after structural relaxation. The functional is PBE.

Results
For the total energy, the calculation gives -0.614 Ry per atom. The space group is No. 55.

Cell lengths 4.161, 5.522, 10.792 Å; angles 90.00, 90.00, 90.00 degrees
Positions (direct):
Zr  0.000  0.500  0.000
Zr  0.000  0.000  0.500
Rh  0.500  0.703  0.887
Rh  0.500  0.297  0.113
Rh  0.000  0.091  0.257
Rh  0.000  0.500  0.500
Rh  0.000  0.000  0.000
Rh  0.000  0.591  0.243
Rh  0.500  0.203  0.613
Rh  0.000  0.409  0.757
Rh  0.000  0.909  0.743
Rh  0.500  0.797  0.387
Ti  0.500  0.839  0.147
Ti  0.500  0.661  0.647
Ti  0.500  0.161  0.853
Ti  0.500  0.339  0.353

=====

no.,ρ (g/cm3)
1,8.68
2,6.73
3,6.52
4,8.64
5,6.72
6,9.39